This record from Alexandria via LeMat-Bulk describes a relaxed Si2Os2N crystal. The functional is PBE.

Lattice parameters (Å, degrees): 6.758 6.758 2.908 90.00 90.00 90.00
Positions (direct):
1 Si 0.139 0.639 0.500
2 Si 0.639 0.861 0.500
3 Si 0.861 0.361 0.500
4 Si 0.361 0.139 0.500
5 Os 0.342 0.842 0.000
6 Os 0.842 0.658 0.000
7 Os 0.658 0.158 0.000
8 Os 0.158 0.342 0.000
9 N 0.000 0.000 0.000
10 N 0.500 0.500 0.000

Summary:
* space-group type: P4/mbm (127)

***

This record from Alexandria via LeMat-Bulk describes a relaxed Al3Ru2 crystal. The functional is PBE.

Lattice parameters (Å, degrees): 3.106 3.106 7.484 101.93 101.93 89.99
Positions (direct):
1 Ru 0.393 0.393 0.787
2 Ru 0.607 0.607 0.213
3 Al 0.000 0.000 0.000
4 Al 0.194 0.194 0.388
5 Al 0.806 0.806 0.612

Summary:
* formation energy: -708 meV/atom
* space-group type: I4/mmm (139)

***

This record from Alexandria via LeMat-Bulk describes a relaxed InPtAu2 crystal. The functional is PBE.

Lattice parameters (Å, degrees): 3.044 4.180 5.752 90.00 90.00 90.00
Positions (direct):
1 Au 0.000 0.000 0.994
2 Au 0.000 0.000 0.506
3 In 0.500 0.500 0.250
4 Pt 0.500 0.500 0.750

Summary:
* formation energy: -71 meV/atom
* space-group type: Pmmm (47)

***

This record from Alexandria via LeMat-Bulk describes a relaxed ScBe3 crystal. The functional is PBE.

Lattice parameters (Å, degrees): 4.659 4.659 7.892 90.02 107.27 119.77
Positions (direct):
1 Sc 0.284 0.142 0.426
2 Sc 0.716 0.858 0.574
3 Sc 0.000 0.000 0.000
4 Be 0.659 0.080 0.237
5 Be 0.156 0.578 0.237
6 Be 0.659 0.578 0.238
7 Be 0.000 0.500 0.500
8 Be 0.333 0.666 0.999
9 Be 0.667 0.334 0.001
10 Be 0.844 0.422 0.763
11 Be 0.341 0.920 0.763
12 Be 0.341 0.422 0.762

Summary:
* formation energy: -134 meV/atom
* space-group type: C2/m (12)

***

This record from Alexandria via LeMat-Bulk describes a relaxed La2ZrAl crystal. The functional is PBE.

Lattice parameters (Å, degrees): 4.885 4.690 4.690 90.00 90.00 90.00
Positions (direct):
1 Al 0.500 0.000 0.500
2 Zr 0.500 0.500 0.000
3 La 0.000 0.000 0.000
4 La 0.000 0.500 0.500

Summary:
* formation energy: -83 meV/atom
* space-group type: P4/mmm (123)

***

This record from Alexandria via LeMat-Bulk describes a relaxed LaTm2Cu crystal. The functional is PBE.

Lattice parameters (Å, degrees): 3.488 3.488 8.800 90.00 90.00 90.00
Positions (direct):
1 Tm 0.000 0.000 0.814
2 Tm 0.000 0.000 0.186
3 Cu 0.500 0.500 0.000
4 La 0.500 0.500 0.500

Summary:
* formation energy: -109 meV/atom
* space-group type: P4/mmm (123)

***

This record from Alexandria via LeMat-Bulk describes a relaxed BeSbPdW2 crystal. The functional is PBE.

Lattice parameters (Å, degrees): 4.952 4.257 4.952 90.00 90.00 90.00
Site moments in Bohr magnetons follow the coordinates.
Positions (direct):
1 Sb 0.000 0.000 0.000  -0.01
2 Pd 0.500 0.500 0.500  0.02
3 W 0.000 0.000 0.500  0.30
4 W 0.500 0.000 0.000  0.26
5 Be 0.000 0.500 0.000  -0.01

Summary:
* space-group type: P4/mmm (123)

***

This record from Alexandria via LeMat-Bulk describes a relaxed Dy3InIr2 crystal. The functional is PBE.

Lattice parameters (Å, degrees): 3.375 3.375 11.941 90.00 90.00 90.00
Positions (direct):
1 Dy 0.000 0.000 0.000
2 Dy 0.000 0.000 0.708
3 Dy 0.000 0.000 0.292
4 In 0.500 0.500 0.500
5 Ir 0.500 0.500 0.849
6 Ir 0.500 0.500 0.151

Summary:
* formation energy: -710 meV/atom
* space-group type: P4/mmm (123)

***

This record from Alexandria via LeMat-Bulk describes a relaxed NdPbSe crystal. The functional is PBE.

Lattice parameters (Å, degrees): 4.840 4.840 9.805 75.71 75.71 60.00
Positions (direct):
1 Nd 0.599 0.599 0.203
2 Nd 0.401 0.401 0.797
3 Se 0.295 0.295 0.116
4 Se 0.705 0.705 0.884
5 Pb 0.858 0.858 0.425
6 Pb 0.142 0.142 0.575

Summary:
* space-group type: R-3m (166)

***

This record from Alexandria via LeMat-Bulk describes a relaxed Zn2GaCu6 crystal. The functional is PBE.

Lattice parameters (Å, degrees): 3.793 4.499 7.872 72.65 76.06 65.07
Positions (direct):
1 Zn 0.326 0.613 0.735
2 Zn 0.674 0.387 0.265
3 Ga 0.000 0.500 0.500
4 Cu 0.663 0.729 0.945
5 Cu 0.337 0.271 0.055
6 Cu 0.002 0.832 0.164
7 Cu 0.333 0.944 0.389
8 Cu 0.998 0.168 0.836
9 Cu 0.667 0.056 0.611

Summary:
* formation energy: -67 meV/atom
* space-group type: C2/m (12)

***

This record from Alexandria via LeMat-Bulk describes a relaxed La2HoHfAs4 crystal. The functional is PBE.

Lattice parameters (Å, degrees): 4.140 7.177 7.222 109.20 90.00 90.00
Positions (direct):
1 La 0.500 0.000 0.500
2 La 0.000 0.500 0.500
3 Ho 0.500 0.500 0.000
4 Hf 0.000 0.000 0.000
5 As 0.500 0.232 0.222
6 As 0.500 0.768 0.778
7 As 0.000 0.248 0.772
8 As 0.000 0.752 0.228

Summary:
* formation energy: -1411 meV/atom
* space-group type: P2/m (10)

***

no.,total energy (eV for the cell shown)
1,-76.1
2,-33.3
3,-15.6
4,-54.1
5,-22.5
6,-18.4
7,-28.0
8,-38.5
9,-30.0
10,-30.8
11,-54.3